VASP calculation (PBE) on ScTlICl2 after structural relaxation.

Structure (POSCAR):
```
ScTlICl2
1.0
5.090 0.000 0.000
0.000 5.090 0.000
0.000 0.000 6.019
I Tl Sc Cl
1 1 1 2
Direct
0.000 0.000 0.500 I
0.500 0.500 0.500 Tl
0.000 0.000 0.000 Sc
0.500 0.000 0.000 Cl
0.000 0.500 0.000 Cl
```

## Properties
* final energy: -4.048 eV per atom
* symmetry: P4/mmm, No. 123
* uncorrected formation energy: -608 kJ/mol of formula units